No. 1
## NbAlNF2 (GGA-PBE)

Data for crystalline NbAlNF2 at its relaxed geometry.

a = 3.4946 Å, b = 3.4946 Å, c = 4.7092 Å
α = 90.00°, β = 90.00°, γ = 90.00°
Closest atoms and distances in Å follow each position.
Fractional coordinates of all 5 atoms:
1 F 0.0000 0.5000 0.0000  2 Al 1.75
2 F 0.5000 0.0000 0.0000  2 Al 1.75
3 Al 0.0000 0.0000 0.0000  4 F 1.75
4 N 0.0000 0.0000 0.5000  2 Al 2.35, 4 Nb 2.47
5 Nb 0.5000 0.5000 0.5000  4 N 2.47

Summary:
Space group = P4/mmm
Crystal system = tetragonal
Density of states at the Fermi level = 0.369 states/eV/atom
Polymorph energy (0 for the lowest one) = 0.000 eV/atom


No. 2
## NbAlNF2 (GGA-PBE)

Data for crystalline NbAlNF2 at its relaxed geometry.

a = 4.3106 Å, b = 4.3106 Å, c = 4.0421 Å
α = 90.00°, β = 90.00°, γ = 90.00°
Closest atoms and distances in Å follow each position.
Fractional coordinates of all 5 atoms:
1 Al 0.5000 0.5000 0.5000  8 F 2.95, 4 N 3.05
2 F 0.0000 0.5000 0.0000  2 Nb 2.16
3 F 0.5000 0.0000 0.0000  2 Nb 2.16
4 Nb 0.0000 0.0000 0.0000  2 N 2.02, 4 F 2.16
5 N 0.0000 0.0000 0.5000  2 Nb 2.02

Summary:
Space group = P4/mmm
Crystal system = tetragonal
Density of states at the Fermi level = 0.209 states/eV/atom
Polymorph energy (0 for the lowest one) = 0.045 eV/atom


| no. | raw formation energy (eV per atom) | DFT total energy (eV per atom) |
| --- | --- | --- |
| 1 | -1.166 | -6.342 |
| 2 | -1.121 | -6.297 |